Record 1
! K2AcCd9 PBE relaxed; values from VASP
&SYSTEM
  ibrav = 0, nat = 12, ntyp = 3
/
ATOMIC_SPECIES
K 39.10 K.upf
Ac 227.00 Ac.upf
Cd 112.41 Cd.upf
CELL_PARAMETERS angstrom
3.0671 1.7708 10.2689
-3.0671 1.7708 10.2689
0.0000 -3.5416 10.2689
ATOMIC_POSITIONS angstrom
K 0.0000 0.0000 4.4709
K 0.0000 0.0000 26.3357
Ac 0.0000 0.0000 0.0000
Cd -1.5495 -0.8946 12.7723
Cd 0.0000 0.0000 10.3173
Cd 0.0000 -1.7892 18.0344
Cd -1.5495 0.8946 18.0344
Cd 0.0000 0.0000 15.4033
Cd 1.5495 -0.8946 12.7722
Cd 0.0000 1.7892 12.7722
Cd 0.0000 0.0000 20.4893
Cd 1.5495 0.8946 18.0344
! Raw total energy in eV/atom: -1.334
! Formation energy from the elements in eV per formula unit: -1.47
! D(E_F) in states/eV per cell: 8.3
! SG: R-3m

---

Record 2
! LaBO2F PBE relaxed; values from VASP
&SYSTEM
  ibrav = 0, nat = 5, ntyp = 4
/
ATOMIC_SPECIES
La 138.91 La.upf
B 10.81 B.upf
O 16.00 O.upf
F 19.00 F.upf
CELL_PARAMETERS angstrom
3.6135 0.0000 0.0000
0.0000 3.6135 0.0000
0.0000 0.0000 4.0578
ATOMIC_POSITIONS angstrom
La 0.0000 0.0000 0.0000
B 1.8067 1.8067 2.0289
O 0.0000 1.8067 2.0289
O 1.8067 0.0000 2.0289
F 1.8067 1.8067 0.0000
! Raw total energy in eV/atom: -6.559
! D(E_F) in states/eV per cell: 1.1
! ΔE_f (raw) in kJ per mole of atoms: -181.5
! SG: P4/mmm

---

> Which of these has the highest raw total energy?

K2AcCd9